1.
ReHg2Ir (PBE, optimized geometry); energy = -18.134 eV per formula unit; E above lowest polymorph = 657 meV/atom; E_form = 91 kJ per mole of atoms; SG = Cmmm, No. 65; DOS at the Fermi energy = 5.9 states/eV/cell
1.0
5.181 -0.016 0.000
-2.060 4.754 0.000
0.000 0.000 2.864
Ir Hg Re
1 2 1
direct
0.500 0.000 0.500 Ir
0.500 0.500 0.000 Hg
0.000 0.000 0.000 Hg
0.000 0.500 0.500 Re



2.
ReHgIrRh2 (PBE, optimized geometry); energy = -28.450 eV per formula unit; E_form = 152 kJ per mole of atoms; SG = P4/mmm, No. 123; DOS at the Fermi energy = 7.4 states/eV/cell
1.0
-3.853 -2.268 1.749
2.439 -4.031 0.145
1.426 1.023 4.468
Hg Rh Re Ir
1 2 1 1
direct
0.500 0.500 0.500 Hg
0.500 0.000 0.000 Rh
0.000 0.000 0.500 Rh
0.000 0.500 0.000 Re
0.000 0.000 0.000 Ir



3.
ReHgIr2Se (PBE, optimized geometry); energy = -20.248 eV per formula unit; SG = P4/mmm, No. 123; formation energy from raw total energies = 13.7 eV/f.u.; DOS at the Fermi energy = 6.6 states/eV/cell
1.0
-4.063 1.089 2.661
-2.086 -4.410 -1.381
2.018 -2.201 3.982
Ir Se Re Hg
2 1 1 1
direct
0.500 0.000 0.000 Ir
0.000 0.000 0.500 Ir
0.500 0.500 0.500 Se
0.000 0.500 0.000 Re
0.000 0.000 0.000 Hg



4.
ReSiHg2Ir (PBE, optimized geometry); energy = -20.057 eV per formula unit; SG = P4/mmm, No. 123; formation energy from raw total energies = 7.3 eV/f.u.; DOS at the Fermi energy = 3.5 states/eV/cell
1.0
5.173 0.000 0.000
0.000 4.772 0.000
0.000 0.000 5.173
Hg Ir Si Re
2 1 1 1
direct
0.000 0.000 0.500 Hg
0.500 0.000 0.000 Hg
0.000 0.000 0.000 Ir
0.500 0.500 0.500 Si
0.000 0.500 0.000 Re



5.
ReSn2HgIr (PBE, optimized geometry); energy = -19.120 eV per formula unit; E_form = 203 kJ per mole of atoms; SG = P4/mmm, No. 123; DOS at the Fermi energy = 4.3 states/eV/cell
1.0
-3.012 4.310 0.496
-4.138 -2.833 -0.511
-0.158 -0.713 5.231
Sn Re Ir Hg
2 1 1 1
direct
0.000 0.000 0.500 Sn
0.500 0.000 0.000 Sn
0.500 0.500 0.500 Re
0.000 0.500 0.000 Ir
0.000 0.000 0.000 Hg



6.
TlReHgIr2 (PBE, optimized geometry); energy = -20.056 eV per formula unit; E_form = 247 kJ per mole of atoms; SG = P4/mmm, No. 123; DOS at the Fermi energy = 3.1 states/eV/cell
1.0
4.994 0.000 0.000
0.000 5.073 0.000
0.000 0.000 4.994
Ir Tl Re Hg
2 1 1 1
direct
0.000 0.000 0.500 Ir
0.500 0.000 0.000 Ir
0.000 0.000 0.000 Tl
0.000 0.500 0.000 Re
0.500 0.500 0.500 Hg



7.
YReHg2Ir (PBE, optimized geometry); energy = -22.850 eV per formula unit; E_form = 107 kJ per mole of atoms; SG = P4/mmm, No. 123; DOS at the Fermi energy = 2.9 states/eV/cell
1.0
-0.306 2.974 4.238
-4.120 -2.704 1.600
3.130 -3.275 2.525
Hg Y Ir Re
2 1 1 1
direct
0.500 0.000 0.000 Hg
0.000 0.000 0.500 Hg
0.000 0.500 0.000 Y
0.000 0.000 0.000 Ir
0.500 0.500 0.500 Re



8.
HgIr2Rh (PBE, optimized geometry); energy = -24.264 eV per formula unit; E_form = 27 kJ per mole of atoms; SG = Pmm2, No. 25; DOS at the Fermi energy = 3.7 states/eV/cell
1.0
2.803 0.000 0.000
0.000 3.808 0.000
0.000 0.000 6.028
Ir Hg Rh
2 1 1
direct
0.000 0.000 0.036 Ir
0.500 0.500 0.243 Ir
0.500 0.500 0.745 Hg
0.000 0.000 0.477 Rh



9.
Hg4IrRh (PBE, optimized geometry); energy = -12.215 eV per formula unit; E_form = 84 kJ per mole of atoms; SG = F-43m, No. 216; DOS at the Fermi energy = 5.4 states/eV/cell
1.0
0.000 3.918 3.918
3.918 0.000 3.918
3.918 3.918 0.000
Rh Hg Ir
1 4 1
direct
0.000 0.000 0.000 Rh
0.375 0.875 0.375 Hg
0.375 0.375 0.875 Hg
0.875 0.375 0.375 Hg
0.375 0.375 0.375 Hg
0.750 0.750 0.750 Ir



10.
HgIrRh2 (PBE, optimized geometry); energy = -22.347 eV per formula unit; E_form = 37 kJ per mole of atoms; SG = Immm, No. 71; DOS at the Fermi energy = 5.1 states/eV/cell
1.0
1.774 4.843 2.013
-3.017 4.576 -0.784
0.597 -5.072 2.138
Rh Ir Hg
2 1 1
direct
0.266 0.266 0.000 Rh
0.734 0.734 0.000 Rh
0.500 0.000 0.500 Ir
0.000 0.500 0.500 Hg



11.
Hg3IrRh (PBE, optimized geometry); energy = -11.931 eV per formula unit; E above lowest polymorph = 0 meV/atom; E_form = 100 kJ per mole of atoms; SG = Pm-3m, No. 221; DOS at the Fermi energy = 5.5 states/eV/cell
1.0
-1.715 -4.769 1.029
4.578 -1.196 2.088
-1.687 1.604 4.618
Ir Rh Hg
1 1 3
direct
0.000 0.000 0.000 Ir
0.500 0.500 0.500 Rh
0.000 0.500 0.000 Hg
0.000 0.000 0.500 Hg
0.500 0.000 0.000 Hg



12.
HgIr2Rh (PBE, optimized geometry); energy = -23.921 eV per formula unit; E_form = 35 kJ per mole of atoms; SG = I-4m2, No. 119; DOS at the Fermi energy = 2.8 states/eV/cell
1.0
-2.008 2.008 3.916
2.008 -2.008 3.916
2.008 2.008 -3.916
Hg Ir Rh
1 2 1
direct
0.750 0.250 0.500 Hg
0.250 0.750 0.500 Ir
0.000 0.000 0.000 Ir
0.500 0.500 0.000 Rh



- Look up the energy of the third one.
  -20.248 eV per formula unit